This record from Alexandria describes LiMn2F6 after structural relaxation. The functional is GGA+U.

POSCAR file:
```
LiMn2F6
1.0
8.8689 0.0000 0.0000
-4.4345 7.6807 0.0000
0.0000 0.0000 4.6746
F Mn Li
18 6 3
Cartesian
2.9653 6.8074 3.5196
-1.3860 4.0187 3.4017
1.4364 6.0544 1.2392
-1.5270 5.8974 1.2392
3.0485 3.6620 1.2729
-0.0217 1.7090 3.5196
-2.9436 6.8450 3.5196
-0.2612 6.8717 3.4017
4.4127 5.9717 1.1550
0.0907 3.4096 1.2392
2.9074 1.7833 3.4355
1.6471 4.4710 3.4017
7.3998 0.8733 1.1550
1.4909 0.8357 1.1550
6.0816 3.2097 1.2729
5.8708 1.6263 3.4355
4.1733 0.8091 1.2729
4.5251 4.2711 3.4355
1.5812 2.7388 0.0000
-1.3856 2.4000 2.3373
5.7064 0.0000 0.0000
-2.8532 4.9419 0.0000
3.0488 5.2807 2.3373
2.7713 0.0000 2.3373
0.0000 0.0000 0.0000
4.4345 2.5602 2.4510
0.0000 5.1205 2.2236
```

Properties
ΔE to the lowest computed polymorph in meV per atom: 0.0

This record from Alexandria describes Li2VS2O8 after structural relaxation. The functional is GGA+U.

POSCAR file:
```
Li2VS2O8
1.0
-6.1714 4.0597 5.7088
-5.4429 -7.7115 -0.4000
6.7347 -5.3276 11.0691
O S Li V
64 16 16 8
Cartesian
-7.9235 -0.7925 7.2348
-3.9582 2.0793 9.4792
2.4702 -2.5981 12.1821
-4.9826 1.1002 4.9889
-0.5640 -0.6512 3.9651
-4.3155 -8.3281 12.4128
-3.0276 -7.5715 5.6355
-1.9719 -4.1735 11.9918
3.1612 -5.7925 11.3961
-0.3484 -5.8828 12.0945
-0.4351 -8.5914 13.8216
-8.4651 -3.4802 8.3786
0.1477 -3.6603 14.2558
-2.5888 -1.9100 2.0837
-6.4771 -6.9855 1.0144
-6.9066 -1.1923 4.0640
-1.6944 -7.9601 7.6885
1.3932 -7.4424 7.4527
0.6981 -7.6264 9.7000
-4.7078 -5.8279 10.5482
-1.8520 -1.4079 10.7424
5.1901 -4.4374 9.4203
-4.5311 -3.0966 4.2834
-7.0610 2.3067 5.4451
-0.7342 -0.0916 6.2511
-6.1011 0.6583 7.9911
-6.2727 -1.5370 8.9252
0.1031 -10.0795 11.3890
3.5856 -5.4992 7.9993
-2.2907 -7.0694 14.2942
-4.1454 -8.8877 10.1268
-0.1717 -3.1515 5.8297
-7.9213 -5.5075 7.0987
-1.4951 -5.4699 9.9377
1.5650 -4.7898 5.6467
-1.0515 -2.0952 8.5356
3.0418 -3.4718 9.2791
-0.9213 -11.0587 6.8987
-5.4214 -4.5613 8.5407
2.0271 -7.7870 12.3139
-2.9076 -4.8058 4.3860
2.1814 -11.2860 10.9328
-2.1839 -8.0608 11.2176
1.5976 -1.9938 15.3635
-3.8280 -6.8842 7.8423
-3.3844 -3.5094 6.4402
0.5418 -4.4180 7.8371
0.1801 -3.9223 10.8302
-3.7308 -9.2408 7.1233
-0.7193 -5.5318 6.2049
-2.6957 -0.9186 5.1602
-3.1852 -1.0193 8.6894
3.0440 -8.1869 9.1431
-6.4445 -4.1895 10.7312
-10.0696 -4.5419 6.9575
-5.0272 -5.3190 2.1221
-5.0597 -5.0570 5.5477
-8.0407 -3.1868 4.9818
-1.1488 0.2615 9.2545
-4.1602 -3.4476 10.1729
1.2215 -9.6377 8.3868
-7.3497 -6.3812 4.1958
-4.4445 -0.3880 2.5562
-5.5776 -1.3529 6.6778
-1.5024 -0.0468 4.9549
2.9033 -6.6189 12.6013
0.2951 -4.4544 6.3646
-5.1746 -4.5249 10.0133
-1.8288 -1.0619 9.2896
-8.9507 -4.8175 7.9293
-3.3771 -8.9326 11.4230
0.7794 -3.2264 15.5264
-0.9363 -4.8548 11.1618
1.6304 -8.2396 8.7098
-3.0507 -7.9174 7.0882
-3.9432 -4.1245 5.2161
-6.5099 -0.7397 7.6681
4.0712 -4.1619 8.4486
-5.6590 -5.7530 0.8515
-7.7829 -2.3605 3.7765
-0.3935 -6.3044 8.3142
-3.4056 -3.8743 2.4510
-5.8583 -7.6453 10.9937
-3.0777 -6.7098 9.7797
-0.2795 -9.1469 6.9042
1.2858 -4.1530 12.6785
-4.6001 0.1676 9.4737
-1.8018 -2.2696 6.5982
-6.1653 -4.8264 3.6993
0.9788 -1.3341 5.3841
4.0840 -6.5901 9.8030
-8.9635 -2.3892 6.5749
-1.4740 -5.1050 13.9269
3.9908 -3.7641 11.2473
-4.4860 -2.6750 8.0637
-8.8704 -5.2152 5.1305
-1.5622 -6.5378 4.4971
0.9659 -2.7747 9.1144
-0.0382 -7.9890 11.7368
-4.3215 -7.6558 14.5032
-5.8455 -6.2046 7.2635
-0.5581 -1.3236 1.8746
-4.8413 -0.9904 4.6410
-3.3173 -2.4415 11.8807
```

Properties
Fermi-level density of states in states/eV/f.u.: 0.0
Total energy in eV/atom: -6.304

Copy entry 1 word for word.
This record from Alexandria describes LiMn2F6 after structural relaxation. The functional is GGA+U.

POSCAR file:
```
LiMn2F6
1.0
8.8689 0.0000 0.0000
-4.4345 7.6807 0.0000
0.0000 0.0000 4.6746
F Mn Li
18 6 3
Cartesian
2.9653 6.8074 3.5196
-1.3860 4.0187 3.4017
1.4364 6.0544 1.2392
-1.5270 5.8974 1.2392
3.0485 3.6620 1.2729
-0.0217 1.7090 3.5196
-2.9436 6.8450 3.5196
-0.2612 6.8717 3.4017
4.4127 5.9717 1.1550
0.0907 3.4096 1.2392
2.9074 1.7833 3.4355
1.6471 4.4710 3.4017
7.3998 0.8733 1.1550
1.4909 0.8357 1.1550
6.0816 3.2097 1.2729
5.8708 1.6263 3.4355
4.1733 0.8091 1.2729
4.5251 4.2711 3.4355
1.5812 2.7388 0.0000
-1.3856 2.4000 2.3373
5.7064 0.0000 0.0000
-2.8532 4.9419 0.0000
3.0488 5.2807 2.3373
2.7713 0.0000 2.3373
0.0000 0.0000 0.0000
4.4345 2.5602 2.4510
0.0000 5.1205 2.2236
```

Properties
ΔE to the lowest computed polymorph in meV per atom: 0.0